No. 1
Compound: ThGaSb2
Source: the Alexandria database
Functional: PBE
Structure: relaxed

Calculated values
* total magnetic moment: 0.000 μB per cell
* space-group type: R-3m
* polymorph energy (0 for the lowest one): 483 meV per atom
* V: 40.64 Å³ per atom

Cell: 9.0579 9.0579 9.0579 Å, 29.80 29.80 29.80°
Positions (direct):
Th 0.0000 0.0000 0.0000
Ga 0.5000 0.5000 0.5000
Sb 0.3987 0.3987 0.3987
Sb 0.6013 0.6013 0.6013


No. 2
Compound: Th8Ga3Sb2
Source: the Alexandria database
Functional: PBE
Structure: relaxed

Calculated values
* VASP energy: -6.12 eV/atom
* total magnetic moment: 0.000 μB per cell
* space-group type: C2/m
* V: 30.40 Å³ per atom

Cell: 8.9851 8.9851 6.1385 Å, 92.83 92.83 53.02°
Positions (direct):
Th 0.0837 0.0837 0.3907
Th 0.1021 0.6723 0.1131
Th 0.3277 0.8979 0.8869
Th 0.3343 0.3343 0.6670
Th 0.6657 0.6657 0.3330
Th 0.6723 0.1021 0.1131
Th 0.8979 0.3277 0.8869
Th 0.9163 0.9163 0.6093
Ga 0.3390 0.6610 0.5000
Ga 0.5000 0.5000 0.0000
Ga 0.6610 0.3390 0.5000
Sb 0.2540 0.2540 0.1652
Sb 0.7460 0.7460 0.8348


No. 3
Compound: Ti6Ga5Sb
Source: the Alexandria database
Functional: PBE
Structure: relaxed

Calculated values
* VASP energy: -5.78 eV/atom
* total magnetic moment: 0.000 μB per cell
* space-group type: C2/m
* V: 17.82 Å³ per atom

Cell: 5.6517 5.6517 6.9462 Å, 95.25 95.25 103.05°
Positions (direct):
Ti 0.0748 0.4171 0.2443
Ti 0.2466 0.2466 0.7550
Ti 0.4171 0.0748 0.2443
Ti 0.5829 0.9252 0.7557
Ti 0.7534 0.7534 0.2450
Ti 0.9252 0.5829 0.7557
Ga 0.0000 0.0000 0.0000
Ga 0.1599 0.8401 0.5000
Ga 0.3358 0.6642 0.0000
Ga 0.6642 0.3358 0.0000
Ga 0.8401 0.1599 0.5000
Sb 0.5000 0.5000 0.5000


No. 4
Compound: Ti4GaSb2
Source: the Alexandria database
Functional: PBE
Structure: relaxed

Calculated values
* VASP energy: -6.56 eV/atom
* total magnetic moment: 0.000 μB per cell
* space-group type: I-42d
* V: 18.73 Å³ per atom

Cell: 6.9844 6.9844 6.9844 Å, 109.87 109.87 108.68°
Positions (direct):
Ti 0.1344 0.0288 0.7428
Ti 0.1416 0.5360 0.7572
Ti 0.2860 0.3916 0.2572
Ti 0.4640 0.2212 0.6056
Ti 0.6084 0.8656 0.8944
Ti 0.6156 0.8584 0.3944
Ti 0.7788 0.3844 0.2428
Ti 0.9712 0.7140 0.1056
Ga 0.2500 0.7500 0.5000
Ga 0.5000 0.5000 0.0000
Sb 0.3750 0.0059 0.1309
Sb 0.7559 0.6250 0.6309
Sb 0.8750 0.2441 0.8691
Sb 0.9941 0.1250 0.3691


What did the second record say?
Compound: Th8Ga3Sb2
Source: the Alexandria database
Functional: PBE
Structure: relaxed

Calculated values
* VASP energy: -6.12 eV/atom
* total magnetic moment: 0.000 μB per cell
* space-group type: C2/m
* V: 30.40 Å³ per atom

Cell: 8.9851 8.9851 6.1385 Å, 92.83 92.83 53.02°
Positions (direct):
Th 0.0837 0.0837 0.3907
Th 0.1021 0.6723 0.1131
Th 0.3277 0.8979 0.8869
Th 0.3343 0.3343 0.6670
Th 0.6657 0.6657 0.3330
Th 0.6723 0.1021 0.1131
Th 0.8979 0.3277 0.8869
Th 0.9163 0.9163 0.6093
Ga 0.3390 0.6610 0.5000
Ga 0.5000 0.5000 0.0000
Ga 0.6610 0.3390 0.5000
Sb 0.2540 0.2540 0.1652
Sb 0.7460 0.7460 0.8348